# 1
A plane-wave DFT calculation with GGA-PBE was carried out for a relaxed TlSbTe2F crystal.

Results
As for the space-group type: P4/mmm (123). The energy above the most stable polymorph in this dataset is 5.90 eV/f.u. The value obtained for the size of the total moment is 0.0 μB per cell. Its formation energy from raw total energies is 584.7 meV per atom. The calculation puts the raw total energy at -2.344 eV per atom.

a b c (Å): 5.725 5.725 5.799
angles (deg): 90.00 90.00 90.00
Positions (direct):
Tl 0.000 0.000 0.000
Sb 0.000 0.000 0.500
Te 0.000 0.500 0.000
Te 0.500 0.000 0.000
F 0.500 0.500 0.500

---

# 2
A plane-wave DFT calculation with GGA-PBE was carried out for a relaxed AcDyLuHg crystal.

Results
As for the space-group type: F-43m (216). The value obtained for the size of the total moment is 0.0 μB per cell. The calculation puts the raw total energy at -3.297 eV per atom.

a b c (Å): 7.833 7.833 7.833
angles (deg): 90.00 90.00 90.00
Positions (direct):
Ac 0.000 0.000 0.000
Ac 0.000 0.500 0.500
Ac 0.500 0.000 0.500
Ac 0.500 0.500 0.000
Dy 0.250 0.250 0.750
Dy 0.250 0.750 0.250
Dy 0.750 0.250 0.250
Dy 0.750 0.750 0.750
Lu 0.250 0.250 0.250
Lu 0.250 0.750 0.750
Lu 0.750 0.250 0.750
Lu 0.750 0.750 0.250
Hg 0.000 0.000 0.500
Hg 0.000 0.500 0.000
Hg 0.500 0.000 0.000
Hg 0.500 0.500 0.500

---

# 3
A plane-wave DFT calculation with GGA-PBE was carried out for a relaxed BeTeBr crystal.

Results
As for the space-group type: P3m1 (156). The energy above the most stable polymorph in this dataset is 0.60 eV/f.u. The value obtained for the size of the total moment is 0.0 μB per cell. Its formation energy from raw total energies is -284.3 meV per atom. The calculation puts the raw total energy at -3.131 eV per atom.

a b c (Å): 3.448 3.448 7.464
angles (deg): 90.00 90.00 120.00
Positions (direct):
Be 0.000 0.000 0.000
Te 0.333 0.667 0.758
Br 0.667 0.333 0.179